No. 1
Entry from Alexandria via LeMat-Bulk: a relaxed Sr4Nd3Ta2Al5O21 crystal (PBEsol).

```
Sr4Nd3Ta2Al5O21
1.0
2.702 1.560 15.497
-2.702 1.560 15.497
0.000 -3.120 15.497
Sr Nd Ta Al O
4 3 2 5 21
Direct
0.075 0.075 0.075
0.357 0.357 0.357
0.643 0.643 0.643
0.925 0.925 0.925
0.211 0.211 0.211
0.500 0.500 0.500
0.789 0.789 0.789
0.285 0.285 0.285
0.715 0.715 0.715
0.000 0.000 0.000
0.143 0.143 0.143
0.431 0.431 0.431
0.569 0.569 0.569
0.857 0.857 0.857
0.000 0.000 0.500
0.000 0.500 0.000
0.078 0.572 0.572
0.139 0.139 0.650
0.139 0.650 0.139
0.217 0.710 0.710
0.290 0.290 0.783
0.290 0.783 0.290
0.350 0.861 0.861
0.428 0.428 0.922
0.428 0.922 0.428
0.500 0.000 0.000
0.572 0.078 0.572
0.572 0.572 0.078
0.650 0.139 0.139
0.710 0.217 0.710
0.710 0.710 0.217
0.783 0.290 0.290
0.861 0.350 0.861
0.861 0.861 0.350
0.922 0.428 0.428
```

Properties
Fermi-level density of states ... 0.000 states/eV per cell
M_tot ... 0.0 μB/f.u.
Uncorrected formation energy ... -3.196 eV/atom

***

No. 2
Entry from Alexandria via LeMat-Bulk: a relaxed Sr3NdTaAl3O12 crystal (PBEsol).

```
Sr3NdTaAl3O12
1.0
5.416 -7.707 0.000
5.416 7.707 0.000
-0.006 0.000 5.399
Sr Nd Ta Al O
6 2 2 6 24
Direct
0.115 0.388 0.501
0.126 0.874 0.000
0.388 0.115 0.501
0.640 0.898 0.499
0.874 0.126 0.000
0.898 0.640 0.499
0.373 0.658 0.002
0.658 0.373 0.002
0.253 0.253 0.998
0.515 0.515 0.501
0.004 0.004 0.503
0.008 0.512 0.000
0.255 0.763 0.501
0.512 0.008 0.000
0.762 0.762 0.005
0.763 0.255 0.501
0.115 0.115 0.773
0.133 0.885 0.501
0.137 0.633 0.250
0.138 0.392 0.001
0.142 0.637 0.760
0.147 0.147 0.284
0.359 0.359 0.687
0.382 0.637 0.499
0.383 0.878 0.242
0.386 0.882 0.751
0.392 0.138 0.001
0.416 0.416 0.181
0.612 0.612 0.805
0.628 0.876 0.000
0.633 0.137 0.250
0.637 0.142 0.760
0.637 0.382 0.499
0.656 0.656 0.284
0.870 0.870 0.734
0.876 0.628 0.000
0.878 0.383 0.242
0.882 0.386 0.751
0.885 0.133 0.501
0.895 0.895 0.232
```

Properties
Fermi-level density of states ... 14.126 states/eV per cell
Energy above the most stable polymorph in this dataset ... 0.0 meV/atom
M_tot ... 0.5 μB/f.u.
Uncorrected formation energy ... -3.047 eV/atom

***

Result set for raw total energy: -8.3003, -7.9726 eV per atom, one per record in the order listed.
Result set for calculated density: 6.85, 6.34 Mg/m³, one per record in the order listed.